# ScIrPt2 | Alexandria | PBE | relaxed
data_ScIrPt2
_chemical_formula_sum 'Sc1 Ir1 Pt2'
_symmetry_space_group_name_H-M 'P m m m'
_symmetry_Int_Tables_number 47
_cell_length_a 2.860
_cell_length_b 4.008
_cell_length_c 5.607
_cell_angle_alpha 90.00
_cell_angle_beta 90.00
_cell_angle_gamma 90.00
loop_
_symmetry_equiv_pos_as_xyz
'x,y,z'
'-x,-y,-z'
'-x,-y,z'
'x,y,-z'
'x,-y,-z'
'-x,y,z'
'-x,y,-z'
'x,-y,z'
loop_
_atom_site_label
_atom_site_fract_x
_atom_site_fract_y
_atom_site_fract_z
Sc1 0.000 0.000 0.000
Ir1 0.000 0.000 0.500
Pt1 0.500 0.500 0.260
# DOS(E_F)   3.40 states/eV/f.u.
# Energy of formation   -0.624 eV/atom
# Total DFT energy (no corrections)   -29.77 eV/cell